(1)
Compound: ReAgCl
Source: the Alexandria database
Functional: PBE
Structure: relaxed

Cell and atoms, written as POSCAR:
```
ReAgCl
1.0
2.935 0.000 0.000
-1.468 2.542 0.000
0.000 0.000 7.048
Re Ag Cl
1 1 1
direct
0.000 0.000 0.000
0.667 0.333 0.325
0.333 0.667 0.743
```

Uncorrected energy, eV/atom: -5.153
Fermi-level density of states, states/eV/atom: 0.590
Energy relative to the elements, uncorrected, eV/atom: 0.56

=====

(2)
Compound: Li2Pr3Ga9
Source: the Alexandria database
Functional: PBE
Structure: relaxed

Cell and atoms, written as POSCAR:
```
Li2Pr3Ga9
1.0
-2.177 4.906 6.567
2.177 -4.906 6.567
2.177 4.906 -6.567
Li Pr Ga
2 3 9
direct
0.210 0.000 0.210
0.790 0.000 0.790
0.186 0.186 0.000
0.500 0.500 0.000
0.814 0.814 0.000
0.000 0.500 0.500
0.089 0.362 0.727
0.203 0.836 0.368
0.365 0.638 0.727
0.468 0.836 0.632
0.532 0.164 0.368
0.635 0.362 0.273
0.797 0.164 0.632
0.911 0.638 0.273
```

Uncorrected energy, eV/atom: -3.790
Fermi-level density of states, states/eV/atom: 0.491
DFT formation energy, meV/atom: -546

=====

(3)
Compound: TiSe2SN
Source: the Alexandria database
Functional: PBE
Structure: relaxed

Cell and atoms, written as POSCAR:
```
TiSe2SN
1.0
4.994 0.000 0.000
0.000 4.994 0.000
0.000 0.000 3.342
Ti Se S N
1 2 1 1
direct
0.000 0.000 0.000
0.000 0.500 0.500
0.500 0.000 0.500
0.500 0.500 0.500
0.500 0.500 0.000
```

Uncorrected energy, eV/atom: -4.825
Fermi-level density of states, states/eV/atom: 0.708
Energy relative to the elements, uncorrected, eV/atom: 0.64

=====

(4)
Compound: LiSnS
Source: the Alexandria database
Functional: PBE
Structure: relaxed

Cell and atoms, written as POSCAR:
```
LiSnS
1.0
5.039 0.000 0.000
-2.520 4.364 0.000
0.000 0.000 5.904
Li Sn S
2 2 2
direct
0.000 0.000 0.000
0.000 0.000 0.500
0.333 0.667 0.250
0.667 0.333 0.750
0.333 0.667 0.750
0.667 0.333 0.250
```

Uncorrected energy, eV/atom: -3.541
Fermi-level density of states, states/eV/atom: 0.591
Energy relative to the elements, uncorrected, eV/atom: -0.19

=====

(5)
Compound: TbAl11Ru
Source: the Alexandria database
Functional: PBE
Structure: relaxed

Cell and atoms, written as POSCAR:
```
TbAl11Ru
1.0
2.599 -6.309 0.000
2.599 6.309 0.000
-2.399 0.000 6.742
Tb Al Ru
1 11 1
direct
0.000 0.000 0.000
0.000 0.000 0.500
0.000 0.500 0.000
0.014 0.362 0.360
0.282 0.499 0.774
0.362 0.014 0.360
0.499 0.282 0.774
0.500 0.000 0.000
0.501 0.718 0.226
0.638 0.986 0.640
0.718 0.501 0.226
0.986 0.638 0.640
0.500 0.500 0.500
```

Uncorrected energy, eV/atom: -4.504
Fermi-level density of states, states/eV/atom: 0.387
DFT formation energy, meV/atom: -268

=====

(6)
Compound: HPd2AuSe
Source: the Alexandria database
Functional: PBE
Structure: relaxed

Cell and atoms, written as POSCAR:
```
HPd2AuSe
1.0
3.986 0.000 0.000
0.000 3.986 0.000
0.000 0.000 4.517
H Pd Au Se
1 2 1 1
direct
0.000 0.000 0.000
0.000 0.500 0.000
0.500 0.000 0.000
0.500 0.500 0.500
0.000 0.000 0.500
```

Uncorrected energy, eV/atom: -3.912
Fermi-level density of states, states/eV/atom: 0.823

=====

Repeat the first record exactly.
Compound: ReAgCl
Source: the Alexandria database
Functional: PBE
Structure: relaxed

Cell and atoms, written as POSCAR:
```
ReAgCl
1.0
2.935 0.000 0.000
-1.468 2.542 0.000
0.000 0.000 7.048
Re Ag Cl
1 1 1
direct
0.000 0.000 0.000
0.667 0.333 0.325
0.333 0.667 0.743
```

Uncorrected energy, eV/atom: -5.153
Fermi-level density of states, states/eV/atom: 0.590
Energy relative to the elements, uncorrected, eV/atom: 0.56

=====

Copy entry 3 word for word.
Compound: TiSe2SN
Source: the Alexandria database
Functional: PBE
Structure: relaxed

Cell and atoms, written as POSCAR:
```
TiSe2SN
1.0
4.994 0.000 0.000
0.000 4.994 0.000
0.000 0.000 3.342
Ti Se S N
1 2 1 1
direct
0.000 0.000 0.000
0.000 0.500 0.500
0.500 0.000 0.500
0.500 0.500 0.500
0.500 0.500 0.000
```

Uncorrected energy, eV/atom: -4.825
Fermi-level density of states, states/eV/atom: 0.708
Energy relative to the elements, uncorrected, eV/atom: 0.64

=====

Q: Number 3 is which compound?
A: TiSe2SN

=====

Q: The highest Fermi-level density of states belongs to which entry?
A: HPd2AuSe